1.
Density functional theory data (PBE) for crystalline VCrPt6 at its relaxed geometry.

extended XYZ file:
```
8
Lattice="3.919 0.000 0.000 0.000 3.919 0.000 0.000 0.000 7.844" Properties=species:S:1:pos:R:3 pbc="T T T"
V 0.000 0.000 3.922
Cr 0.000 0.000 0.000
Pt 1.959 1.959 0.000
Pt 1.959 1.959 3.922
Pt 1.959 0.000 1.992
Pt 1.959 0.000 5.852
Pt 0.000 1.959 1.992
Pt 0.000 1.959 5.852
```



2.
Density functional theory data (PBE) for crystalline V2CrPt2 at its relaxed geometry.

extended XYZ file:
```
10
Lattice="-5.526 -0.957 2.710 2.865 -2.306 5.027 0.141 3.480 1.516" Properties=species:S:1:pos:R:3 pbc="T T T"
Cr 0.000 0.000 0.000
Cr -1.331 -1.632 3.868
Pt 1.078 0.066 4.506
Pt -1.167 -0.829 6.770
Pt -3.598 0.150 4.746
Pt -1.353 1.046 2.483
V 0.492 -2.306 5.248
V -2.863 -2.308 5.563
V -3.153 -0.957 2.489
V 0.202 -0.955 2.174
```



3.
Density functional theory data (PBE) for crystalline VCrPt2 at its relaxed geometry.

extended XYZ file:
```
8
Lattice="-0.822 -6.492 -2.374 6.751 -1.267 1.128 2.396 -4.710 1.847" Properties=species:S:1:pos:R:3 pbc="T T T"
Cr 0.000 0.000 0.000
Cr 2.269 -7.541 -0.575
Pt 0.942 -5.293 -0.844
Pt 4.703 -2.881 0.834
Pt 4.124 -6.462 0.936
Pt 6.881 -10.302 0.278
V 2.964 -3.879 -0.623
V 6.056 -4.928 1.176
```



4.
Density functional theory data (PBE) for crystalline V4CrPt5 at its relaxed geometry.

extended XYZ file:
```
10
Lattice="-1.446 -2.073 -0.948 -0.890 -0.520 2.495 -15.145 11.897 -2.921" Properties=species:S:1:pos:R:3 pbc="T T T"
V -3.013 2.367 -0.581
V -6.052 4.754 -1.167
V -9.093 7.143 -1.754
V -12.132 9.530 -2.340
Cr 0.000 0.000 0.000
Pt -2.654 -0.129 0.487
Pt -5.697 2.261 -0.100
Pt -8.740 4.652 -0.687
Pt -11.783 7.042 -1.274
Pt -14.827 9.433 -1.861
```



5.
Density functional theory data (PBE) for crystalline VCrPtW at its relaxed geometry.

extended XYZ file:
```
4
Lattice="4.339 0.000 0.000 2.169 3.758 0.000 2.169 1.253 3.543" Properties=species:S:1:pos:R:3 pbc="T T T"
Cr 0.000 0.000 0.000
W 2.169 1.253 0.886
Pt 6.508 3.758 2.657
V 4.339 2.505 1.771
```



6.
Density functional theory data (PBE) for crystalline VCrPt2W at its relaxed geometry.

extended XYZ file:
```
5
Lattice="4.905 0.000 0.000 0.000 4.428 0.000 0.000 0.000 4.905" Properties=species:S:1:pos:R:3 pbc="T T T"
Cr 2.453 2.214 2.453
W 0.000 0.000 0.000
Pt 0.000 0.000 2.453
Pt 2.453 0.000 0.000
V 0.000 2.214 0.000
```



| no. | total DFT energy (no corrections) (eV/atom) | formation energy from the elements (eV/f.u.) |
| --- | --- | --- |
| 1 | -7.257 | -3.073 |
| 2 | -8.002 | -0.068 |
| 3 | -7.603 | 0.411 |
| 4 | -8.109 | -4.789 |
| 5 | -9.502 | -0.270 |
| 6 | -7.533 | 6.114 |